(1)
This record from Alexandria describes a relaxed Nd2Y4Tm5 crystal. The functional is PBE.

Unit cell a=17.136 b=3.535 c=11.664 alpha=90.00 beta=95.04 gamma=90.00
Space group C2/m (No. 12)
One atom of each set of equivalent atoms:
1 Nd 0.135 0.000 0.312 [4 per cell]
2 Y 0.177 0.500 0.574 [4 per cell]
3 Y 0.231 0.000 0.856 [4 per cell]
4 Tm 0.000 0.000 0.500 [2 per cell]
5 Tm 0.040 0.500 0.786 [4 per cell]
6 Tm 0.091 0.000 0.042 [4 per cell]

- raw total energy (eV per atom) = -5.1971
- excess energy over the best structure of this formula in the dataset (meV per atom) = 0
- total magnetic moment (μB/cell) = 0.00
- formation enthalpy at 0 K (meV/atom) = 52.8



(2)
This record from Alexandria describes a relaxed InGePt3 crystal. The functional is PBE.

Unit cell a=4.954 b=4.954 c=4.954 alpha=90.00 beta=90.00 gamma=90.00
Space group Pm-3m (No. 221)
One atom of each set of equivalent atoms:
1 In 0.000 0.000 0.000 [1 per cell]
2 Ge 0.500 0.500 0.500 [1 per cell]
3 Pt 0.000 0.000 0.500 [3 per cell]

- raw total energy (eV per atom) = -4.0969
- excess energy over the best structure of this formula in the dataset (meV per atom) = 1319
- total magnetic moment (μB/cell) = 0.00
- formation enthalpy at 0 K (meV/atom) = 998.7



(3)
This record from Alexandria describes a relaxed AcAsPb2 crystal. The functional is PBE.

Unit cell a=4.651 b=4.651 c=5.525 alpha=90.00 beta=90.00 gamma=90.00
Space group P4/mmm (No. 123)
One atom of each set of equivalent atoms:
1 Ac 0.000 0.000 0.000 [1 per cell]
2 As 0.500 0.500 0.000 [1 per cell]
3 Pb 0.000 0.500 0.500 [2 per cell]

- raw total energy (eV per atom) = -4.5188
- excess energy over the best structure of this formula in the dataset (meV per atom) = 0
- total magnetic moment (μB/cell) = 0.00
- formation enthalpy at 0 K (meV/atom) = -475.1



(4)
This record from Alexandria describes a relaxed TlCo2As crystal. The functional is PBE.

Unit cell a=3.656 b=3.656 c=9.241 alpha=90.00 beta=90.00 gamma=90.00
Space group I-4m2 (No. 119)
One atom of each set of equivalent atoms:
1 Tl 0.000 0.000 0.000 [2 per cell]
2 Co 0.000 0.000 0.500 [2 per cell]
3 Co 0.000 0.500 0.250 [2 per cell]
4 As 0.000 0.500 0.750 [2 per cell]

- raw total energy (eV per atom) = -4.7758
- excess energy over the best structure of this formula in the dataset (meV per atom) = 372
- total magnetic moment (μB/cell) = 0.64
- formation enthalpy at 0 K (meV/atom) = 531.1